## TaPd2Ru (PBE)

Data for an optimized crystal structure of TaPd2Ru.

Output
For the formation energy from the elements, the calculation gives 108 meV/atom. The calculation puts the relative energy among the computed polymorphs at 462 meV/atom. As for the density of states at the Fermi level: 1.2179 states/eV per atom.

```
data_TaPd2Ru
_cell_length_a 3.755
_cell_length_b 3.755
_cell_length_c 18.858
_cell_angle_alpha 90.00
_cell_angle_beta 90.00
_cell_angle_gamma 90.00
_space_group_name_H-M_alt 'I -4 2 d'
_space_group_IT_number 122
_space_group_name_Hall 'I -4 2bw'
loop_
_atom_site_label
_atom_site_type_symbol
_atom_site_fract_x
_atom_site_fract_y
_atom_site_fract_z
Ta1 Ta 0.000 0.000 0.000
Pd1 Pd 0.247 0.250 0.625
Ru1 Ru 0.000 0.000 0.500
```

---

## Li2RuO4 (PBE)

Data for an optimized crystal structure of Li2RuO4.

Output
The calculation puts the relative energy among the computed polymorphs at 59 meV/atom. The value obtained for the formation energy from raw total energies is -1.298 eV/atom. As for the density of states at the Fermi level: 0.4534 states/eV per atom.

```
data_Li2RuO4
_cell_length_a 10.546
_cell_length_b 3.028
_cell_length_c 5.171
_cell_angle_alpha 90.00
_cell_angle_beta 118.33
_cell_angle_gamma 90.00
_space_group_name_H-M_alt 'C 1 2/m 1'
_space_group_IT_number 12
loop_
_space_group_symop_operation_xyz
'x,y,z'
'-x,-y,-z'
'-x,y,-z'
'x,-y,z'
'x+1/2,y+1/2,z'
'-x+1/2,-y+1/2,-z'
'-x+1/2,y+1/2,-z'
'x+1/2,-y+1/2,z'
loop_
_atom_site_label
_atom_site_type_symbol
_atom_site_fract_x
_atom_site_fract_y
_atom_site_fract_z
Li1 Li 0.198 0.000 0.193
Ru1 Ru 0.000 0.500 0.500
O1 O 0.115 0.500 0.330
O2 O 0.119 0.000 0.763
```

---

## TbEr3Se4 (PBE)

Data for an optimized crystal structure of TbEr3Se4.

Output
The calculation puts the relative energy among the computed polymorphs at 11 meV/atom. The value obtained for the formation energy from raw total energies is -1.700 eV/atom. As for the density of states at the Fermi level: 0.6379 states/eV per atom.

```
data_TbEr3Se4
_cell_length_a 5.731
_cell_length_b 5.731
_cell_length_c 5.731
_cell_angle_alpha 90.00
_cell_angle_beta 90.00
_cell_angle_gamma 90.00
_space_group_name_H-M_alt 'P m -3 m'
_space_group_IT_number 221
_space_group_name_Hall '-P 4 2 3'
loop_
_atom_site_label
_atom_site_type_symbol
_atom_site_fract_x
_atom_site_fract_y
_atom_site_fract_z
Tb1 Tb 0.000 0.000 0.000
Er1 Er 0.000 0.500 0.500
Se1 Se 0.000 0.000 0.500
Se2 Se 0.500 0.500 0.500
```

---

## Si4TeOs (PBE)

Data for an optimized crystal structure of Si4TeOs.

Output
The value obtained for the formation energy from raw total energies is 0.938 eV/atom. As for the density of states at the Fermi level: 0.9965 states/eV per atom.

```
data_Si4TeOs
_cell_length_a 7.318
_cell_length_b 7.318
_cell_length_c 7.318
_cell_angle_alpha 90.00
_cell_angle_beta 90.00
_cell_angle_gamma 90.00
_space_group_name_H-M_alt 'F -4 3 m'
_space_group_IT_number 216
_space_group_name_Hall 'F -4 2 3'
loop_
_atom_site_label
_atom_site_type_symbol
_atom_site_fract_x
_atom_site_fract_y
_atom_site_fract_z
Si1 Si 0.125 0.125 0.125
Te1 Te 0.250 0.250 0.750
Os1 Os 0.000 0.000 0.500
```

---

## In2CuRu (PBE)

Data for an optimized crystal structure of In2CuRu.

Output
For the formation energy from the elements, the calculation gives 69 meV/atom. As for the density of states at the Fermi level: 0.5057 states/eV per atom.

```
data_In2CuRu
_cell_length_a 6.096
_cell_length_b 6.935
_cell_length_c 3.228
_cell_angle_alpha 90.00
_cell_angle_beta 90.00
_cell_angle_gamma 90.00
_space_group_name_H-M_alt 'C m m m'
_space_group_IT_number 65
_space_group_name_Hall '-C 2 2'
loop_
_atom_site_label
_atom_site_type_symbol
_atom_site_fract_x
_atom_site_fract_y
_atom_site_fract_z
In1 In 0.250 0.250 0.000
Cu1 Cu 0.000 0.000 0.500
Ru1 Ru 0.000 0.500 0.500
```

---

## TbPuPb2O8 (PBE)

Data for an optimized crystal structure of TbPuPb2O8.

Output
The value obtained for the formation energy from raw total energies is -1.975 eV/atom. As for the density of states at the Fermi level: 0.4700 states/eV per atom.

```
data_TbPuPb2O8
_cell_length_a 7.325
_cell_length_b 7.328
_cell_length_c 6.891
_cell_angle_alpha 90.00
_cell_angle_beta 90.00
_cell_angle_gamma 90.00
_space_group_name_H-M_alt 'C m m m'
_space_group_IT_number 65
_space_group_name_Hall '-C 2 2'
loop_
_atom_site_label
_atom_site_type_symbol
_atom_site_fract_x
_atom_site_fract_y
_atom_site_fract_z
Tb1 Tb 0.000 0.000 0.000
Pu1 Pu 0.000 0.000 0.500
Pb1 Pb 0.000 0.500 0.251
O1 O 0.000 0.183 0.274
O2 O 0.191 0.500 0.000
O3 O 0.200 0.500 0.500
```

---

## K2BeCo (PBE)

Data for an optimized crystal structure of K2BeCo.

Output
For the formation energy from the elements, the calculation gives 1285 meV/atom. As for the density of states at the Fermi level: 1.5573 states/eV per atom.

```
data_K2BeCo
_cell_length_a 4.395
_cell_length_b 4.395
_cell_length_c 10.359
_cell_angle_alpha 90.00
_cell_angle_beta 90.00
_cell_angle_gamma 90.00
_space_group_name_H-M_alt 'I 4/m m m'
_space_group_IT_number 139
_space_group_name_Hall '-I 4 2'
loop_
_atom_site_label
_atom_site_type_symbol
_atom_site_fract_x
_atom_site_fract_y
_atom_site_fract_z
K1 K 0.000 0.500 0.250
Be1 Be 0.000 0.000 0.000
Co1 Co 0.000 0.000 0.500
```

---

## Ba2TiOs (PBE)

Data for an optimized crystal structure of Ba2TiOs.

Output
For the formation energy from the elements, the calculation gives 1240 meV/atom. The calculation puts the relative energy among the computed polymorphs at 638 meV/atom. As for the density of states at the Fermi level: 2.6785 states/eV per atom.

```
data_Ba2TiOs
_cell_length_a 7.613
_cell_length_b 7.613
_cell_length_c 7.613
_cell_angle_alpha 90.00
_cell_angle_beta 90.00
_cell_angle_gamma 90.00
_space_group_name_H-M_alt 'F m -3 m'
_space_group_IT_number 225
_space_group_name_Hall '-F 4 2 3'
loop_
_atom_site_label
_atom_site_type_symbol
_atom_site_fract_x
_atom_site_fract_y
_atom_site_fract_z
Ba1 Ba 0.250 0.250 0.250
Ti1 Ti 0.000 0.000 0.000
Os1 Os 0.000 0.000 0.500
```

---

## Ac2InSb (PBE)

Data for an optimized crystal structure of Ac2InSb.

Output
The calculation puts the relative energy among the computed polymorphs at 216 meV/atom. The value obtained for the formation energy from raw total energies is -0.586 eV/atom. As for the density of states at the Fermi level: 1.0564 states/eV per atom.

```
data_Ac2InSb
_cell_length_a 8.209
_cell_length_b 8.209
_cell_length_c 8.209
_cell_angle_alpha 90.00
_cell_angle_beta 90.00
_cell_angle_gamma 90.00
_space_group_name_H-M_alt 'F m -3 m'
_space_group_IT_number 225
_space_group_name_Hall '-F 4 2 3'
loop_
_atom_site_label
_atom_site_type_symbol
_atom_site_fract_x
_atom_site_fract_y
_atom_site_fract_z
Ac1 Ac 0.250 0.250 0.250
In1 In 0.000 0.000 0.000
Sb1 Sb 0.000 0.000 0.500
```

---

## Ac2Pm4Ho5 (PBE)

Data for an optimized crystal structure of Ac2Pm4Ho5.

Output
For the formation energy from the elements, the calculation gives 65 meV/atom. As for the density of states at the Fermi level: 1.6534 states/eV per atom.

```
data_Ac2Pm4Ho5
_cell_length_a 3.672
_cell_length_b 8.739
_cell_length_c 12.042
_cell_angle_alpha 90.20
_cell_angle_beta 95.76
_cell_angle_gamma 90.92
_space_group_name_H-M_alt 'P -1'
_space_group_IT_number 2
loop_
_space_group_symop_operation_xyz
'x,y,z'
'-x,-y,-z'
loop_
_atom_site_label
_atom_site_type_symbol
_atom_site_fract_x
_atom_site_fract_y
_atom_site_fract_z
Ac1 Ac 0.139 0.348 0.395
Pm1 Pm 0.008 0.793 0.029
Pm2 Pm 0.099 0.751 0.317
Ho1 Ho 0.423 0.934 0.792
Ho2 Ho 0.461 0.522 0.856
Ho3 Ho 0.500 0.000 0.500
```

---

## NaTbY2 (PBE)

Data for an optimized crystal structure of NaTbY2.

Output
For the formation energy from the elements, the calculation gives 130 meV/atom. The calculation puts the relative energy among the computed polymorphs at 0 meV/atom. As for the density of states at the Fermi level: 1.2002 states/eV per atom.

```
data_NaTbY2
_cell_length_a 3.565
_cell_length_b 3.565
_cell_length_c 10.488
_cell_angle_alpha 90.00
_cell_angle_beta 90.00
_cell_angle_gamma 90.00
_space_group_name_H-M_alt 'P 4/m m m'
_space_group_IT_number 123
_space_group_name_Hall '-P 4 2'
loop_
_atom_site_label
_atom_site_type_symbol
_atom_site_fract_x
_atom_site_fract_y
_atom_site_fract_z
Na1 Na 0.000 0.000 0.000
Tb1 Tb 0.000 0.000 0.500
Y1 Y 0.500 0.500 0.269
```

---

## RbOs3Pt (PBE)

Data for an optimized crystal structure of RbOs3Pt.

Output
For the formation energy from the elements, the calculation gives 4149 meV/atom. The calculation puts the relative energy among the computed polymorphs at 1698 meV/atom. As for the density of states at the Fermi level: 1.7640 states/eV per atom.

```
data_RbOs3Pt
_cell_length_a 4.660
_cell_length_b 4.660
_cell_length_c 4.660
_cell_angle_alpha 90.00
_cell_angle_beta 90.00
_cell_angle_gamma 90.00
_space_group_name_H-M_alt 'P m -3 m'
_space_group_IT_number 221
_space_group_name_Hall '-P 4 2 3'
loop_
_atom_site_label
_atom_site_type_symbol
_atom_site_fract_x
_atom_site_fract_y
_atom_site_fract_z
Rb1 Rb 0.000 0.000 0.000
Os1 Os 0.000 0.000 0.500
Pt1 Pt 0.500 0.500 0.500
```

---

## HfAgAu6 (PBE)

Data for an optimized crystal structure of HfAgAu6.

Output
For the formation energy from the elements, the calculation gives -247 meV/atom. As for the density of states at the Fermi level: 0.3938 states/eV per atom.

```
data_HfAgAu6
_cell_length_a 9.341
_cell_length_b 4.131
_cell_length_c 8.529
_cell_angle_alpha 90.00
_cell_angle_beta 117.72
_cell_angle_gamma 90.00
_space_group_name_H-M_alt 'C 1 2/m 1'
_space_group_IT_number 12
loop_
_space_group_symop_operation_xyz
'x,y,z'
'-x,-y,-z'
'-x,y,-z'
'x,-y,z'
'x+1/2,y+1/2,z'
'-x+1/2,-y+1/2,-z'
'-x+1/2,y+1/2,-z'
'x+1/2,-y+1/2,z'
loop_
_atom_site_label
_atom_site_type_symbol
_atom_site_fract_x
_atom_site_fract_y
_atom_site_fract_z
Hf1 Hf 0.000 0.000 0.000
Ag1 Ag 0.000 0.000 0.500
Au1 Au 0.004 0.500 0.247
Au2 Au 0.250 0.000 0.372
Au3 Au 0.250 0.000 0.877
```